--- A ---
# Sr3YSb

A relaxed Sr3YSb crystal (GGA-PBE, the Alexandria database). Values from VASP.

The structure in Quantum ESPRESSO input format:
```
&SYSTEM
  ibrav = 0, nat = 5, ntyp = 3
/
ATOMIC_SPECIES
Sr 87.62 Sr.upf
Y 88.91 Y.upf
Sb 121.76 Sb.upf
CELL_PARAMETERS angstrom
6.2502 0.0000 0.0000
0.0000 6.2502 0.0000
0.0000 0.0000 6.2502
ATOMIC_POSITIONS angstrom
Sr 0.0000 0.0000 3.1251
Sr 0.0000 3.1251 0.0000
Sr 3.1251 0.0000 0.0000
Y 0.0000 0.0000 0.0000
Sb 3.1251 3.1251 3.1251
```

Results
Total magnetization, μB per cell: 3.71
Crystal system: cubic

--- B ---
# Sr3YSb

A relaxed Sr3YSb crystal (GGA-PBE, the Alexandria database). Values from VASP.

The structure in Quantum ESPRESSO input format:
```
&SYSTEM
  ibrav = 0, nat = 5, ntyp = 3
/
ATOMIC_SPECIES
Sr 87.62 Sr.upf
Y 88.91 Y.upf
Sb 121.76 Sb.upf
CELL_PARAMETERS angstrom
6.2990 0.0000 0.0000
0.0000 6.2990 0.0000
0.0000 0.0000 6.2990
ATOMIC_POSITIONS angstrom
Sr 0.0000 0.0000 3.1495
Sr 0.0000 3.1495 0.0000
Sr 3.1495 0.0000 0.0000
Y 3.1495 3.1495 3.1495
Sb 0.0000 0.0000 0.0000
```

Results
Total magnetization, μB per cell: 0.00
Crystal system: cubic

Tell me which of them is the least stable. Sure, it is A.

--- A ---
# Sr2YSb2

A relaxed Sr2YSb2 crystal (GGA-PBE, the Alexandria database). Values from VASP.

The structure in Quantum ESPRESSO input format:
```
&SYSTEM
  ibrav = 0, nat = 10, ntyp = 3
/
ATOMIC_SPECIES
Sr 87.62 Sr.upf
Y 88.91 Y.upf
Sb 121.76 Sb.upf
CELL_PARAMETERS angstrom
8.5456 0.0000 0.0000
0.0000 8.5456 0.0000
0.0000 0.0000 4.6506
ATOMIC_POSITIONS angstrom
Sr 1.2423 3.0305 0.0000
Sr 3.0305 7.3033 0.0000
Sr 5.5151 1.2423 0.0000
Sr 7.3033 5.5151 0.0000
Y 0.0000 0.0000 2.3253
Y 4.2728 4.2728 2.3253
Sb 1.3986 5.6714 2.3253
Sb 2.8742 1.3986 2.3253
Sb 5.6714 7.1470 2.3253
Sb 7.1470 2.8742 2.3253
```

Results
Total magnetization, μB per cell: 1.96
Crystal system: tetragonal

--- B ---
# Sr2YSb2

A relaxed Sr2YSb2 crystal (GGA-PBE, the Alexandria database). Values from VASP.

The structure in Quantum ESPRESSO input format:
```
&SYSTEM
  ibrav = 0, nat = 10, ntyp = 3
/
ATOMIC_SPECIES
Sr 87.62 Sr.upf
Y 88.91 Y.upf
Sb 121.76 Sb.upf
CELL_PARAMETERS angstrom
9.2897 0.0000 0.0000
0.0000 9.2897 0.0000
0.0000 0.0000 3.8412
ATOMIC_POSITIONS angstrom
Sr 1.1644 3.4805 0.0000
Sr 3.4805 8.1254 0.0000
Sr 5.8092 1.1644 0.0000
Sr 8.1254 5.8092 0.0000
Y 0.0000 0.0000 0.0000
Y 4.6449 4.6449 0.0000
Sb 1.6375 6.2823 1.9206
Sb 3.0074 1.6375 1.9206
Sb 6.2823 7.6523 1.9206
Sb 7.6523 3.0074 1.9206
```

Results
Total magnetization, μB per cell: 1.70
Crystal system: tetragonal

Tell me which of them is the least stable. Sure, it is B.